# 1
Sr2InP2 after structural relaxation, computed with PBE-GGA.

## Properties
Mass density, g cm⁻³: 4.47
Distance to the lowest polymorph of the same formula, eV per atom: 0.043
Electronic total energy, eV/cell: -40.684
Symmetry: No. 127

a = 7.8687 Å, b = 7.8687 Å, c = 4.2227 Å
α = 90.00°, β = 90.00°, γ = 90.00°
With the nearest neighbours (Å) after each atom.
Sites, in units of the cell vectors:
Sr 0.1481 0.6481 0.5000  6 P 2.98-3.23, 1 Sr 3.30
Sr 0.6481 0.8519 0.5000  6 P 2.98-3.23, 1 Sr 3.30
Sr 0.8519 0.3519 0.5000  6 P 2.98-3.23, 1 Sr 3.30
Sr 0.3519 0.1481 0.5000  6 P 2.98-3.23, 1 Sr 3.30
P 0.3372 0.8372 0.0000  2 In 2.95, 6 Sr 2.98-3.23
P 0.8372 0.6628 0.0000  2 In 2.95, 6 Sr 2.98-3.23
P 0.6628 0.1628 0.0000  2 In 2.95, 6 Sr 2.98-3.23
P 0.1628 0.3372 0.0000  2 In 2.95, 6 Sr 2.98-3.23
In 0.0000 0.0000 0.0000  4 P 2.95
In 0.5000 0.5000 0.0000  4 P 2.95

# 2
SrIn2P after structural relaxation, computed with PBE-GGA.

## Properties
Mass density, g cm⁻³: 5.26
Electronic total energy, eV/cell: -13.706
Symmetry: No. 44

a = 6.0926 Å, b = 6.0926 Å, c = 6.0926 Å
α = 139.83°, β = 130.16°, γ = 65.85°
With the nearest neighbours (Å) after each atom.
Sites, in units of the cell vectors:
Sr 0.7127 0.2127 0.5000  2 P 3.18, 6 In 3.37-3.45
In 0.9999 0.9999 0.0000  2 In 3.23, 4 P 3.32, 4 Sr 3.37-3.61
In 0.3086 0.8086 0.5000  2 P 2.72
P 0.4788 0.4788 0.0000  2 In 2.72

# 3
SrInP after structural relaxation, computed with PBE-GGA.

## Properties
Mass density, g cm⁻³: 5.00
Electronic total energy, eV/cell: -11.042
Symmetry: No. 107

a = 6.1896 Å, b = 6.1896 Å, c = 6.1896 Å
α = 145.02°, β = 145.02°, γ = 50.31°
With the nearest neighbours (Å) after each atom.
Sites, in units of the cell vectors:
Sr 0.6773 0.6773 0.0000  5 In 3.22-3.55, 5 P 3.32-3.58
In 0.9649 0.9649 0.0000  4 P 2.89, 1 Sr 3.22
P 0.3578 0.3578 0.0000  4 In 2.89

# 4
SrIn2P after structural relaxation, computed with PBE-GGA.

## Properties
Mass density, g cm⁻³: 4.91
Electronic total energy, eV/cell: -13.233
Symmetry: No. 166

a = 8.5750 Å, b = 8.5750 Å, c = 8.5750 Å
α = 27.38°, β = 27.38°, γ = 27.38°
With the nearest neighbours (Å) after each atom.
Sites, in units of the cell vectors:
Sr 0.0000 0.0000 0.0000  6 In 3.51
In 0.7720 0.7720 0.7720  3 P 2.79
In 0.2280 0.2280 0.2280  3 P 2.79
P 0.5000 0.5000 0.5000  6 In 2.79

# 5
SrIn2P after structural relaxation, computed with PBE-GGA.

## Properties
Mass density, g cm⁻³: 4.91
Electronic total energy, eV/cell: -13.885
Symmetry: No. 160

a = 8.6016 Å, b = 8.6016 Å, c = 8.6016 Å
α = 27.26°, β = 27.26°, γ = 27.26°
With the nearest neighbours (Å) after each atom.
Sites, in units of the cell vectors:
Sr 0.2302 0.2302 0.2302  3 P 2.96
In 0.0100 0.0100 0.0100  3 In 3.28, 3 Sr 3.66
In 0.7694 0.7694 0.7694  3 P 2.70
P 0.4903 0.4903 0.4903  3 In 2.70, 3 Sr 2.96

# 6
SrInP3 after structural relaxation, computed with PBE-GGA.

## Properties
Mass density, g cm⁻³: 3.71
Distance to the lowest polymorph of the same formula, eV per atom: 0.000
Electronic total energy, eV/cell: -19.078
Symmetry: No. 221

a = 5.0921 Å, b = 5.0921 Å, c = 5.0921 Å
α = 90.00°, β = 90.00°, γ = 90.00°
With the nearest neighbours (Å) after each atom.
Sites, in units of the cell vectors:
Sr 0.5000 0.5000 0.5000  12 P 3.60
P 0.0000 0.5000 0.0000  2 In 2.55
P 0.0000 0.0000 0.5000  2 In 2.55
P 0.5000 0.0000 0.0000  2 In 2.55
In 0.0000 0.0000 0.0000  6 P 2.55

# 7
Sr2InP after structural relaxation, computed with PBE-GGA.

## Properties
Mass density, g cm⁻³: 3.84
Distance to the lowest polymorph of the same formula, eV per atom: 0.237
Electronic total energy, eV/cell: -26.349
Symmetry: No. 122

a = 8.6427 Å, b = 8.6427 Å, c = 7.1536 Å
α = 52.84°, β = 52.84°, γ = 90.00°
With the nearest neighbours (Å) after each atom.
Sites, in units of the cell vectors:
Sr 0.5726 0.1250 0.2500  2 P 2.91
Sr 0.1774 0.6250 0.2500  2 P 2.91
Sr 0.3750 0.4274 0.7500  2 P 2.91
Sr 0.8750 0.8226 0.7500  2 P 2.91
P 0.5000 0.5000 0.0000  4 Sr 2.91
P 0.2500 0.7500 0.5000  4 Sr 2.91
In 0.0000 0.0000 0.0000  8 Sr 3.52-3.92, 2 P 3.72
In 0.7500 0.2500 0.5000  8 Sr 3.52-3.92, 2 P 3.72

# 8
Sr8In2P after structural relaxation, computed with PBE-GGA.

## Properties
Mass density, g cm⁻³: 3.22
Electronic total energy, eV/cell: -28.372
Symmetry: No. 12

a = 4.4899 Å, b = 9.0267 Å, c = 12.4523 Å
α = 87.29°, β = 100.39°, γ = 90.00°
With the nearest neighbours (Å) after each atom.
Sites, in units of the cell vectors:
Sr 0.6039 0.4776 0.2078  2 In 3.39
Sr 0.3755 0.0086 0.7511  1 P 3.05
Sr 0.2345 0.3000 0.4691  2 In 3.42
Sr 0.0087 0.7776 0.0174  2 P 3.01
Sr 0.7655 0.7000 0.5309  2 In 3.42
Sr 0.6245 0.9914 0.2489  1 P 3.05
Sr 0.3961 0.5224 0.7922  2 In 3.39
Sr 0.9913 0.2224 0.9826  2 P 3.01
In 0.1602 0.7074 0.3204  7 Sr 3.39-3.74
In 0.8398 0.2926 0.6796  7 Sr 3.39-3.74
P 0.5000 0.0000 0.0000  6 Sr 3.01-3.05

# 9
Sr2InP2 after structural relaxation, computed with PBE-GGA.

## Properties
Mass density, g cm⁻³: 4.29
Distance to the lowest polymorph of the same formula, eV per atom: 0.327
Electronic total energy, eV/cell: -18.921
Symmetry: No. 139

a = 3.7327 Å, b = 3.7327 Å, c = 10.1313 Å
α = 79.38°, β = 79.38°, γ = 90.00°
With the nearest neighbours (Å) after each atom.
Sites, in units of the cell vectors:
Sr 0.3752 0.3752 0.2497  4 P 3.08
Sr 0.6248 0.6248 0.7503  4 P 3.08
P 0.7500 0.2500 0.5000  4 P 2.64
P 0.2500 0.7500 0.5000  4 P 2.64
In 0.0000 0.0000 0.0000  8 Sr 3.60, 4 In 3.73

# 10
Sr2InP after structural relaxation, computed with PBE-GGA.

## Properties
Mass density, g cm⁻³: 3.71
Distance to the lowest polymorph of the same formula, eV per atom: 0.051
Electronic total energy, eV/cell: -13.918
Symmetry: No. 166

a = 8.9936 Å, b = 8.9936 Å, c = 8.9936 Å
α = 28.23°, β = 28.23°, γ = 28.23°
With the nearest neighbours (Å) after each atom.
Sites, in units of the cell vectors:
Sr 0.7718 0.7718 0.7718  3 P 2.99
Sr 0.2282 0.2282 0.2282  3 P 2.99
In 0.0000 0.0000 0.0000  6 Sr 3.72
P 0.5000 0.5000 0.5000  6 Sr 2.99

# 11
SrIn2P after structural relaxation, computed with PBE-GGA.

## Properties
Mass density, g cm⁻³: 5.40
Electronic total energy, eV/cell: -13.693
Symmetry: No. 139

a = 6.4869 Å, b = 6.4869 Å, c = 6.4869 Å
α = 141.02°, β = 141.02°, γ = 56.31°
With the nearest neighbours (Å) after each atom.
Sites, in units of the cell vectors:
Sr 0.0000 0.0000 0.0000  4 P 3.06
In 0.7500 0.2500 0.5000  4 In 3.06
In 0.2500 0.7500 0.5000  4 In 3.06
P 0.5000 0.5000 0.0000  4 Sr 3.06

# 12
SrInP2 after structural relaxation, computed with PBE-GGA.

## Properties
Mass density, g cm⁻³: 4.14
Electronic total energy, eV/cell: -16.539
Symmetry: No. 44

a = 6.6375 Å, b = 6.6375 Å, c = 6.6375 Å
α = 141.60°, β = 144.00°, γ = 53.65°
With the nearest neighbours (Å) after each atom.
Sites, in units of the cell vectors:
In 0.2500 0.7500 0.5000  6 P 2.83-3.12
P 0.9147 0.9147 0.0000  2 P 2.43
P 0.8237 0.3237 0.5000  2 P 2.43
Sr 0.5116 0.5116 0.0000  6 P 3.03-3.21

# 13
Sr2InP after structural relaxation, computed with PBE-GGA.

## Properties
Mass density, g cm⁻³: 3.85
Distance to the lowest polymorph of the same formula, eV per atom: 0.358
Electronic total energy, eV/cell: -12.690
Symmetry: No. 99

a = 4.6237 Å, b = 4.6237 Å, c = 6.4705 Å
α = 90.00°, β = 90.00°, γ = 90.00°
With the nearest neighbours (Å) after each atom.
Sites, in units of the cell vectors:
Sr 0.0000 0.0000 0.8759  2 In 3.23-3.24, 4 P 3.27
Sr 0.5000 0.5000 0.3739  2 P 3.23-3.24, 4 In 3.27
In 0.0000 0.0000 0.3762  6 Sr 3.23-3.27
P 0.5000 0.5000 0.8740  6 Sr 3.23-3.27

# 14
SrInP2 after structural relaxation, computed with PBE-GGA.

## Properties
Mass density, g cm⁻³: 4.66
Electronic total energy, eV/cell: -14.701
Symmetry: No. 216

a = 5.1084 Å, b = 5.1084 Å, c = 5.1084 Å
α = 60.00°, β = 60.00°, γ = 60.00°
With the nearest neighbours (Å) after each atom.
Sites, in units of the cell vectors:
In 0.5000 0.5000 0.5000  4 Sr 3.13, 4 P 3.13
P 0.0000 0.0000 0.0000  4 Sr 3.13, 4 P 3.13
P 0.2500 0.2500 0.2500  4 In 3.13, 4 P 3.13
Sr 0.7500 0.7500 0.7500  4 P 3.13, 4 In 3.13